Computed, not measured: a PBEsol-optimized structure of K2NaMo2 at the SCAN level of DFT.

Summary:
ΔE_f   381 kJ/mol of formula units
V   164.6 Å³/f.u.

a = 3.5060 Å, b = 3.5060 Å, c = 13.6163 Å
α = 97.40°, β = 97.40°, γ = 90.00°
Last column: nearest neighbours and their distance in Å.
Atoms (fractional coordinates):
K1 0.6315 0.6315 0.2631  4 K 3.51, 4 Mo 3.62
K2 0.3685 0.3685 0.7369  4 K 3.51, 4 Mo 3.62
Mo1 0.7500 0.2500 0.5000  4 Mo 2.48
Na1 0.0000 0.0000 0.0000  4 Na 3.51
Mo2 0.2500 0.7500 0.5000  4 Mo 2.48

Computed, not measured: a PBEsol-optimized structure of K3NaMo2O8 at the SCAN level of DFT.

Summary:
V   236.1 Å³/f.u.
E_form (uncorrected)   -31.98 eV per formula unit

a = 5.9964 Å, b = 5.9961 Å, c = 15.1676 Å
α = 90.43°, β = 90.00°, γ = 120.00°
Last column: nearest neighbours and their distance in Å.
Atoms (fractional coordinates):
O1 0.2373 0.8444 0.9208  1 Mo 1.77
K1 0.3534 0.6552 0.5854  3 O 2.56-2.85
O2 0.7629 0.6278 0.0887  1 Mo 1.77
O3 0.3929 0.1556 0.5792  1 Mo 1.77
K2 0.6982 0.3448 0.9146  3 O 2.56-2.85
O4 0.1351 0.3722 0.4113  1 Mo 1.77
K3 0.0680 0.0000 0.7500  4 O 2.69-2.87
Mo1 0.6353 0.3220 0.1385  4 O 1.76-1.77
Na1 0.0000 0.0000 0.5000  6 O 2.38-2.44
O5 0.1469 0.8499 0.3750  1 Mo 1.77
Na2 0.0000 0.0000 0.0000  6 O 2.38-2.44
O6 0.7627 0.1556 0.0792  1 Mo 1.77
O7 0.2970 0.1501 0.1250  1 Mo 1.77
Mo2 0.3133 0.6780 0.3615  4 O 1.76-1.77
K4 0.3018 0.6552 0.0854  3 O 2.56-2.85
K5 0.9320 0.0000 0.2500  4 O 2.69-2.87
Mo3 0.6867 0.3220 0.6385  4 O 1.76-1.77
O8 0.8649 0.6278 0.5887  1 Mo 1.77
O9 0.2371 0.3722 0.9113  1 Mo 1.77
O10 0.6071 0.8444 0.4208  1 Mo 1.77
O11 0.8531 0.1501 0.6250  1 Mo 1.77
O12 0.7350 0.3484 0.2492  1 Mo 1.76
O13 0.2650 0.6516 0.7508  1 Mo 1.76
Mo4 0.3647 0.6780 0.8615  4 O 1.76-1.77
O14 0.3866 0.6516 0.2508  1 Mo 1.76
K6 0.6466 0.3448 0.4146  3 O 2.56-2.85
O15 0.7030 0.8499 0.8750  1 Mo 1.77
O16 0.6134 0.3484 0.7492  1 Mo 1.76

Computed, not measured: a PBEsol-optimized structure of K4Na4Mo7WO24 at the SCAN level of DFT.

Summary:
V   468.8 Å³/f.u.
E_form (uncorrected)   -88.73 eV per formula unit

a = 7.7701 Å, b = 7.7701 Å, c = 7.7655 Å
α = 90.00°, β = 90.00°, γ = 90.00°
Last column: nearest neighbours and their distance in Å.
Atoms (fractional coordinates):
K1 0.2511 0.7489 0.2512  12 O 2.74-2.78
O1 0.2486 0.0000 0.9955  1 W 1.93, 1 Mo 1.95
K2 0.2511 0.2511 0.2512  12 O 2.74-2.78
O2 0.0000 0.7507 0.5046  2 Mo 1.94-1.95
Mo1 0.0000 0.0000 0.5026  6 O 1.93-1.98
O3 0.0000 0.0000 0.7510  1 W 1.92, 1 Mo 1.93
W1 0.0000 0.0000 0.9978  6 O 1.92-1.94
O4 0.0000 0.2493 0.5046  2 Mo 1.94-1.95
Mo2 0.0000 0.5000 0.9977  6 O 1.92-1.95
O5 0.5000 0.5000 0.2501  2 Mo 1.96
O6 0.7514 0.0000 0.9955  1 W 1.93, 1 Mo 1.95
O7 0.7507 0.5000 0.9955  2 Mo 1.94-1.95
K3 0.7489 0.7489 0.2512  12 O 2.74-2.78
O8 0.0000 0.7514 0.9955  1 W 1.93, 1 Mo 1.95
O9 0.0000 0.5000 0.7509  2 Mo 1.92-1.93
K4 0.7489 0.2511 0.2512  12 O 2.74-2.78
Mo3 0.5000 0.0000 0.5026  6 O 1.93-1.97
Mo4 0.0000 0.5000 0.5026  6 O 1.93-1.97
O10 0.5000 0.2498 0.5051  2 Mo 1.94
O11 0.0000 0.5000 0.2495  2 Mo 1.95-1.97
Na1 0.2525 0.7475 0.7476  12 O 2.69-2.77
O12 0.5000 0.0000 0.2495  2 Mo 1.95-1.97
Na2 0.7475 0.7475 0.7476  12 O 2.69-2.77
O13 0.5000 0.7507 0.9955  2 Mo 1.94-1.95
Mo5 0.5000 0.5000 0.9979  6 O 1.92-1.96
O14 0.2493 0.5000 0.9955  2 Mo 1.94-1.95
O15 0.7507 0.0000 0.5046  2 Mo 1.94-1.95
O16 0.5000 0.7502 0.5051  2 Mo 1.94
O17 0.5000 0.0000 0.7509  2 Mo 1.92-1.93
Na3 0.7475 0.2525 0.7476  12 O 2.69-2.77
O18 0.2493 0.0000 0.5046  2 Mo 1.94-1.95
O19 0.2498 0.5000 0.5051  2 Mo 1.94
Mo6 0.5000 0.0000 0.9977  6 O 1.92-1.95
O20 0.7502 0.5000 0.5051  2 Mo 1.94
O21 0.0000 0.2486 0.9955  1 W 1.93, 1 Mo 1.95
Na4 0.2525 0.2525 0.7476  12 O 2.69-2.77
O22 0.5000 0.5000 0.7505  2 Mo 1.92
Mo7 0.5000 0.5000 0.5026  6 O 1.92-1.96
O23 0.0000 0.0000 0.2481  1 W 1.94, 1 Mo 1.98
O24 0.5000 0.2493 0.9955  2 Mo 1.94-1.95

Computed, not measured: a PBEsol-optimized structure of K4Na4Mo5W3O24 at the SCAN level of DFT.

Summary:
V   471.4 Å³/f.u.
E_form (uncorrected)   -89.45 eV per formula unit

a = 7.7758 Å, b = 7.7798 Å, c = 7.7922 Å
α = 90.00°, β = 90.00°, γ = 90.00°
Last column: nearest neighbours and their distance in Å.
Atoms (fractional coordinates):
K1 0.2513 0.7488 0.2534  12 O 2.73-2.80
O1 0.5048 0.5000 0.7517  2 Mo 1.93-1.96
Mo1 0.9980 0.5000 0.5000  6 O 1.92-1.97
O2 0.9954 0.2498 0.5000  2 Mo 1.94-1.95
O3 0.7505 0.0000 0.5000  2 Mo 1.92-1.93
O4 0.5043 0.7517 0.0000  1 W 1.93, 1 Mo 1.96
Mo2 0.5026 0.5000 0.0000  6 O 1.93-1.98
O5 0.7509 0.0000 0.0000  2 W 1.92-1.93
O6 0.9952 0.5000 0.2475  1 W 1.93, 1 Mo 1.97
O7 0.5049 0.0000 0.7525  1 W 1.93, 1 Mo 1.97
O8 0.2501 0.0000 0.5000  2 Mo 1.96
O9 0.7509 0.5000 0.5000  2 Mo 1.92-1.93
K2 0.2513 0.2512 0.7466  12 O 2.73-2.80
O10 0.5048 0.5000 0.2483  2 Mo 1.93-1.96
O11 0.5043 0.2483 0.0000  1 W 1.93, 1 Mo 1.96
O12 0.9959 0.0000 0.7531  1 W 1.92, 1 Mo 1.97
W1 0.5027 0.0000 0.0000  6 O 1.93-1.97
W2 0.9978 0.5000 0.0000  6 O 1.92-1.95
O13 0.7512 0.5000 0.0000  1 W 1.92, 1 Mo 1.93
O14 0.5049 0.0000 0.2475  1 W 1.93, 1 Mo 1.97
O15 0.5052 0.7507 0.5000  2 Mo 1.94-1.95
O16 0.9959 0.0000 0.2469  1 W 1.92, 1 Mo 1.97
O17 0.9954 0.7502 0.5000  2 Mo 1.94-1.95
Na1 0.7471 0.2530 0.7404  12 O 2.65-2.82
Na2 0.7471 0.7470 0.2596  12 O 2.65-2.82
Na3 0.7471 0.7470 0.7404  12 O 2.65-2.82
W3 0.9980 0.0000 0.0000  6 O 1.92-1.96
O18 0.9962 0.7506 0.0000  2 W 1.94-1.95
Mo3 0.5025 0.0000 0.5000  6 O 1.93-1.97
O19 0.2494 0.5000 0.5000  2 Mo 1.95-1.97
K3 0.2513 0.2512 0.2534  12 O 2.73-2.80
O20 0.9962 0.2494 0.0000  2 W 1.94-1.95
Na4 0.7471 0.2530 0.2596  12 O 2.65-2.82
O21 0.5052 0.2493 0.5000  2 Mo 1.94-1.95
Mo4 0.5023 0.5000 0.5000  6 O 1.93-1.97
O22 0.2497 0.0000 0.0000  2 W 1.96-1.97
O23 0.2479 0.5000 0.0000  1 W 1.94, 1 Mo 1.98
K4 0.2513 0.7488 0.7466  12 O 2.73-2.80
Mo5 0.9980 0.0000 0.5000  6 O 1.92-1.97
O24 0.9952 0.5000 0.7525  1 W 1.93, 1 Mo 1.97

Computed, not measured: a PBEsol-optimized structure of K4Na4Mo3W5O24 at the SCAN level of DFT.

Summary:
V   473.6 Å³/f.u.
E_form (uncorrected)   -89.96 eV per formula unit

a = 7.8041 Å, b = 7.7879 Å, c = 7.7918 Å
α = 90.00°, β = 90.00°, γ = 90.00°
Last column: nearest neighbours and their distance in Å.
Atoms (fractional coordinates):
K1 0.7463 0.7486 0.2512  12 O 2.73-2.80
W1 0.0000 0.4973 0.5000  6 O 1.93-1.97
O1 0.7515 0.0041 0.0000  2 W 1.94-1.96
O2 0.0000 0.4956 0.7501  2 W 1.95
O3 0.7533 0.4949 0.5000  1 W 1.93, 1 Mo 1.98
O4 0.5000 0.7524 0.0000  1 W 1.94, 1 Mo 1.98
O5 0.0000 0.0034 0.2493  2 W 1.94-1.95
O6 0.5000 0.4951 0.7508  2 Mo 1.94-1.95
O7 0.5000 0.4951 0.2492  2 Mo 1.94-1.95
O8 0.2471 0.0044 0.5000  1 W 1.93, 1 Mo 1.97
K2 0.2537 0.7486 0.2512  12 O 2.73-2.80
K3 0.7463 0.7486 0.7488  12 O 2.73-2.80
O9 0.7529 0.0044 0.5000  1 W 1.93, 1 Mo 1.97
Na1 0.7392 0.2533 0.7465  12 O 2.65-2.84
O10 0.5000 0.2486 0.0000  1 W 1.92, 1 Mo 1.94
O11 0.5000 0.0049 0.7519  1 W 1.93, 1 Mo 1.96
O12 0.0000 0.0034 0.7507  2 W 1.94-1.95
O13 0.0000 0.2490 0.0000  2 W 1.92-1.93
O14 0.5000 0.0049 0.2481  1 W 1.93, 1 Mo 1.96
O15 0.0000 0.7497 0.5000  2 W 1.96-1.97
Na2 0.2608 0.2533 0.7465  12 O 2.65-2.84
Mo1 0.5000 0.4978 0.5000  6 O 1.94-1.98
O16 0.7529 0.4953 0.0000  1 W 1.93, 1 Mo 1.97
O17 0.5000 0.7507 0.5000  2 Mo 1.96-1.97
O18 0.2485 0.0041 0.0000  2 W 1.94-1.96
O19 0.2471 0.4953 0.0000  1 W 1.93, 1 Mo 1.97
W2 0.0000 0.4972 0.0000  6 O 1.93-1.97
W3 0.0000 0.0019 0.5000  6 O 1.93-1.96
Na3 0.7392 0.2533 0.2535  12 O 2.65-2.84
Na4 0.2608 0.2533 0.2535  12 O 2.65-2.84
O20 0.5000 0.2491 0.5000  2 Mo 1.93-1.94
Mo2 0.5000 0.0019 0.5000  6 O 1.93-1.97
O21 0.0000 0.2495 0.5000  2 W 1.93
K4 0.2537 0.7486 0.7488  12 O 2.73-2.80
W4 0.0000 0.0019 0.0000  6 O 1.92-1.96
O22 0.0000 0.7503 0.0000  2 W 1.96-1.97
O23 0.2467 0.4949 0.5000  1 W 1.93, 1 Mo 1.98
Mo3 0.5000 0.4978 0.0000  6 O 1.94-1.98
O24 0.0000 0.4956 0.2499  2 W 1.95
W5 0.5000 0.0020 0.0000  6 O 1.92-1.96

Computed, not measured: a PBEsol-optimized structure of KNaMoWO6 at the SCAN level of DFT.

Summary:
V   118.1 Å³/f.u.
E_form (uncorrected)   -22.43 eV per formula unit

a = 7.7859 Å, b = 7.7900 Å, c = 7.7900 Å
α = 90.00°, β = 90.00°, γ = 90.00°
Last column: nearest neighbours and their distance in Å.
Atoms (fractional coordinates):
O1 0.7518 0.0000 0.5000  1 W 1.92, 1 Mo 1.94
O2 0.2494 0.0000 0.0000  2 W 1.95-1.98
K1 0.2527 0.2524 0.7476  12 O 2.73-2.80
O3 0.5052 0.2485 0.5000  2 Mo 1.94-1.96
O4 0.9965 0.7513 0.0000  2 W 1.94-1.96
O5 0.2488 0.5000 0.5000  2 Mo 1.95-1.98
W1 0.5031 0.0000 0.0000  6 O 1.93-1.98
K2 0.2527 0.7476 0.7476  12 O 2.73-2.80
Mo1 0.9983 0.5000 0.5000  6 O 1.92-1.96
O6 0.9956 0.5000 0.2480  1 W 1.93, 1 Mo 1.96
O7 0.5049 0.0000 0.7519  1 W 1.93, 1 Mo 1.96
W2 0.9984 0.0000 0.0000  6 O 1.92-1.95
O8 0.5049 0.0000 0.2481  1 W 1.93, 1 Mo 1.96
O9 0.5052 0.5000 0.2485  2 Mo 1.94-1.96
Na1 0.7436 0.7433 0.7433  12 O 2.65-2.83
O10 0.7519 0.0000 0.0000  2 W 1.92-1.94
O11 0.9956 0.7520 0.5000  1 W 1.93, 1 Mo 1.96
Mo2 0.5025 0.5000 0.5000  6 O 1.94-1.98
W3 0.9982 0.5000 0.0000  6 O 1.92-1.96
O12 0.5049 0.7519 0.0000  1 W 1.93, 1 Mo 1.96
O13 0.9965 0.0000 0.7513  2 W 1.94-1.96
Mo3 0.5028 0.5000 0.0000  6 O 1.94-1.98
O14 0.9956 0.5000 0.7520  1 W 1.93, 1 Mo 1.96
O15 0.2479 0.0000 0.5000  1 W 1.94, 1 Mo 1.98
O16 0.5049 0.2481 0.0000  1 W 1.93, 1 Mo 1.96
Mo4 0.5028 0.0000 0.5000  6 O 1.94-1.98
O17 0.7518 0.5000 0.0000  1 W 1.92, 1 Mo 1.94
K3 0.2527 0.2524 0.2524  12 O 2.73-2.80
Na2 0.7436 0.2567 0.2567  12 O 2.65-2.83
O18 0.7518 0.5000 0.5000  2 Mo 1.92-1.94
O19 0.5052 0.7515 0.5000  2 Mo 1.94-1.96
O20 0.5052 0.5000 0.7515  2 Mo 1.94-1.96
Na3 0.7436 0.2567 0.7433  12 O 2.65-2.83
O21 0.9965 0.0000 0.2487  2 W 1.94-1.96
W4 0.9982 0.0000 0.5000  6 O 1.92-1.96
K4 0.2527 0.7476 0.2524  12 O 2.73-2.80
Na4 0.7436 0.7433 0.2567  12 O 2.65-2.83
O22 0.9965 0.2487 0.0000  2 W 1.94-1.96
O23 0.2479 0.5000 0.0000  1 W 1.94, 1 Mo 1.98
O24 0.9956 0.2480 0.5000  1 W 1.93, 1 Mo 1.96

Computed, not measured: a PBEsol-optimized structure of KNaSi2Mo at the SCAN level of DFT.

Summary:
V   153.7 Å³/f.u.
E_form (uncorrected)   10.92 eV per formula unit

a = 5.2626 Å, b = 5.4049 Å, c = 5.4049 Å
α = 90.00°, β = 90.00°, γ = 90.00°
Last column: nearest neighbours and their distance in Å.
Atoms (fractional coordinates):
Mo1 0.5000 0.0000 0.0000  2 K 2.63
Si1 0.0000 0.0000 0.5000  2 K 2.70
K1 0.0000 0.0000 0.0000  2 Mo 2.63, 4 Si 2.70
Na1 0.5000 0.5000 0.5000  8 Si 3.77, 4 Mo 3.82
Si2 0.0000 0.5000 0.0000  2 K 2.70

Computed, not measured: a PBEsol-optimized structure of KNb2MoOs at the SCAN level of DFT.

Summary:
ΔE_f   601 kJ/mol of formula units
V   118.3 Å³/f.u.

a = 4.8428 Å, b = 4.9418 Å, c = 4.9418 Å
α = 90.00°, β = 90.00°, γ = 90.00°
Last column: nearest neighbours and their distance in Å.
Atoms (fractional coordinates):
Nb1 0.0000 0.5000 0.0000  2 Os 2.47
K1 0.5000 0.5000 0.5000  8 Nb 3.46, 4 Mo 3.49
Nb2 0.0000 0.0000 0.5000  2 Os 2.47
Os1 0.0000 0.0000 0.0000  2 Mo 2.42, 4 Nb 2.47
Mo1 0.5000 0.0000 0.0000  2 Os 2.42

no.,D(E_F) (states/eV/cell)
1,3.94
2,0.00
3,6.05
4,6.38
5,6.20
6,6.60
7,2.34
8,4.88